{
  "formula": "NaAgSnTe2",
  "functional": "PBE",
  "state": "optimized geometry",
  "magnetic_moment_mub_per_fu": 0.0,
  "dos_at_fermi_per_ev_atom": 0.00,
  "e_tot_ev_per_atom": -3.246,
  "lattice": [[-0.941, -1.032, 5.182], [-2.195, -7.211, -1.834], [8.203, 0.440, 1.577]],
  "species": ["Na", "Na", "Ag", "Ag", "Sn", "Sn", "Te", "Te", "Te", "Te"],
  "fractional_positions": [[0.210, 0.500, 0.750], [0.790, 0.500, 0.250], [0.000, 0.000, 0.000], [0.000, 0.000, 0.500], [0.388, 0.000, 0.250], [0.612, 0.000, 0.750], [0.700, 0.719, 0.989], [0.700, 0.281, 0.511], [0.300, 0.719, 0.489], [0.300, 0.281, 0.011]]
}